1.
Compound: Li2InSb
Source: the Alexandria database
Functional: PBE
Structure: relaxed

Output
Symmetry ... I-42d (122)
M_tot ... 0.0 μB/f.u.
E_form (uncorrected) ... -0.73 eV/f.u.
Crystal system ... tetragonal

a = 10.1118 Å, b = 10.1118 Å, c = 10.1118 Å
α = 154.58°, β = 154.58°, γ = 36.26°
Element x y z (fractional)
Li 0.1015 0.6250 0.9765
Li 0.3750 0.3515 0.4765
Li 0.6485 0.1250 0.0235
Li 0.8750 0.8985 0.5235
In 0.2500 0.7500 0.5000
In 0.5000 0.5000 0.0000
Sb 0.0000 0.0000 0.0000
Sb 0.7500 0.2500 0.5000


2.
Compound: ScBi2RuO8
Source: the Alexandria database
Functional: PBE
Structure: relaxed

Output
Symmetry ... Cmmm (65)
M_tot ... 1.8 μB/f.u.
E_form (uncorrected) ... -17.14 eV/f.u.
Crystal system ... orthorhombic

a = 4.9360 Å, b = 4.9360 Å, c = 6.6985 Å
α = 90.00°, β = 90.00°, γ = 90.03°
Element x y z (fractional)
Sc 0.0000 0.0000 0.0000
Bi 0.5000 0.5000 0.2517
Bi 0.5000 0.5000 0.7483
Ru 0.0000 0.0000 0.5000
O 0.1800 0.1800 0.2644
O 0.1800 0.1800 0.7356
O 0.2789 0.7211 0.5000
O 0.3005 0.6995 0.0000
O 0.6995 0.3005 0.0000
O 0.7211 0.2789 0.5000
O 0.8200 0.8200 0.2644
O 0.8200 0.8200 0.7356


3.
Compound: In2Ag9Hg
Source: the Alexandria database
Functional: PBE
Structure: relaxed

Output
Symmetry ... P4/mmm (123)
Calculated formation energy ... 0.000 eV per atom
M_tot ... 0.0 μB/f.u.
Crystal system ... tetragonal

a = 4.2363 Å, b = 4.2363 Å, c = 12.6577 Å
α = 90.00°, β = 90.00°, γ = 90.00°
Element x y z (fractional)
In 0.0000 0.0000 0.1679
In 0.0000 0.0000 0.8321
Ag 0.0000 0.5000 0.0000
Ag 0.0000 0.5000 0.3329
Ag 0.0000 0.5000 0.6671
Ag 0.5000 0.0000 0.0000
Ag 0.5000 0.0000 0.3329
Ag 0.5000 0.0000 0.6671
Ag 0.5000 0.5000 0.1654
Ag 0.5000 0.5000 0.5000
Ag 0.5000 0.5000 0.8346
Hg 0.0000 0.0000 0.5000


4.
Compound: La3NbO6
Source: the Alexandria database
Functional: PBE
Structure: relaxed

Output
Symmetry ... Cmc2_1 (36)
M_tot ... 0.0 μB/f.u.
E_form (uncorrected) ... -30.12 eV/f.u.
Crystal system ... orthorhombic

a = 7.5816 Å, b = 7.5816 Å, c = 5.8670 Å
α = 90.00°, β = 90.00°, γ = 101.19°
Element x y z (fractional)
La 0.1026 0.8974 0.5000
La 0.2137 0.4039 0.5387
La 0.4039 0.2137 0.0387
La 0.5961 0.7863 0.5387
La 0.7863 0.5961 0.0387
La 0.8974 0.1026 0.0000
Nb 0.3181 0.6819 0.0654
Nb 0.6819 0.3181 0.5654
O 0.0985 0.6058 0.2430
O 0.1400 0.1656 0.2715
O 0.1656 0.1400 0.7715
O 0.2828 0.7172 0.7449
O 0.3942 0.9015 0.2430
O 0.4756 0.5244 0.2364
O 0.5244 0.4756 0.7364
O 0.6058 0.0985 0.7430
O 0.7172 0.2828 0.2449
O 0.8344 0.8600 0.2715
O 0.8600 0.8344 0.7715
O 0.9015 0.3942 0.7430


5.
Compound: In2TcTe
Source: the Alexandria database
Functional: PBE
Structure: relaxed

Output
Symmetry ... Cmmm (65)
M_tot ... 0.8 μB/f.u.
E_form (uncorrected) ... 2.02 eV/f.u.
Crystal system ... orthorhombic

a = 5.2233 Å, b = 5.2233 Å, c = 3.3774 Å
α = 90.00°, β = 90.00°, γ = 109.40°
Element x y z (fractional)
In 0.0000 0.5000 0.0000
In 0.5000 0.0000 0.0000
Tc 0.0000 0.0000 0.5000
Te 0.5000 0.5000 0.5000


6.
Compound: Tb7RhI12
Source: the Alexandria database
Functional: PBE
Structure: relaxed

Output
Symmetry ... R-3 (148)
M_tot ... 0.0 μB/f.u.
E_form (uncorrected) ... -24.88 eV/f.u.
Crystal system ... trigonal

a = 9.8206 Å, b = 9.8206 Å, c = 9.8206 Å
α = 106.80°, β = 106.80°, γ = 106.80°
Element x y z (fractional)
Tb 0.0000 0.0000 0.0000
Tb 0.2049 0.4793 0.4060
Tb 0.4060 0.2049 0.4793
Tb 0.4793 0.4060 0.2049
Tb 0.5207 0.5940 0.7951
Tb 0.5940 0.7951 0.5207
Tb 0.7951 0.5207 0.5940
Rh 0.5000 0.5000 0.5000
I 0.0374 0.1152 0.3381
I 0.1152 0.3381 0.0374
I 0.1740 0.5700 0.7243
I 0.2757 0.8260 0.4300
I 0.3381 0.0374 0.1152
I 0.4300 0.2757 0.8260
I 0.5700 0.7243 0.1740
I 0.6619 0.9626 0.8848
I 0.7243 0.1740 0.5700
I 0.8260 0.4300 0.2757
I 0.8848 0.6619 0.9626
I 0.9626 0.8848 0.6619


7.
Compound: Ho2Cd2Ag
Source: the Alexandria database
Functional: PBE
Structure: relaxed

Output
Symmetry ... Ibam (72)
Calculated formation energy ... -0.176 eV per atom
M_tot ... 0.0 μB/f.u.
Crystal system ... orthorhombic

a = 8.1429 Å, b = 8.1429 Å, c = 8.1429 Å
α = 134.02°, β = 62.81°, γ = 139.63°
Element x y z (fractional)
Ho 0.1767 0.1813 0.3580
Ho 0.3233 0.6813 0.0046
Ho 0.6767 0.3187 0.9954
Ho 0.8233 0.8187 0.6420
Cd 0.0904 0.6451 0.7354
Cd 0.4096 0.1451 0.5547
Cd 0.5904 0.8549 0.4453
Cd 0.9096 0.3549 0.2646
Ag 0.2500 0.2500 0.0000
Ag 0.7500 0.7500 0.0000


8.
Compound: GaHg2Pb8
Source: the Alexandria database
Functional: PBE
Structure: relaxed

Output
Symmetry ... C2/m (12)
Calculated formation energy ... 0.078 eV per atom
M_tot ... 0.0 μB/f.u.
Crystal system ... monoclinic

a = 8.7682 Å, b = 8.7682 Å, c = 6.2600 Å
α = 90.31°, β = 90.31°, γ = 44.12°
Element x y z (fractional)
Ga 0.0000 0.0000 0.0000
Hg 0.2541 0.2541 0.4393
Hg 0.7459 0.7459 0.5607
Pb 0.1623 0.6636 0.6428
Pb 0.1951 0.1951 0.9245
Pb 0.3364 0.8377 0.3572
Pb 0.4063 0.4063 0.1206
Pb 0.5937 0.5937 0.8794
Pb 0.6636 0.1623 0.6428
Pb 0.8049 0.8049 0.0755
Pb 0.8377 0.3364 0.3572


9.
Compound: Y2CoSnH
Source: the Alexandria database
Functional: PBE
Structure: relaxed

Output
Symmetry ... P4/mmm (123)
M_tot ... 0.6 μB/f.u.
Crystal system ... tetragonal

a = 4.9459 Å, b = 4.9459 Å, c = 3.7942 Å
α = 90.00°, β = 90.00°, γ = 90.00°
Element x y z (fractional)
Y 0.0000 0.5000 0.0000
Y 0.5000 0.0000 0.0000
Co 0.0000 0.0000 0.5000
Sn 0.5000 0.5000 0.5000
H 0.0000 0.0000 0.0000


10.
Compound: LiCoOsCl2
Source: the Alexandria database
Functional: PBE
Structure: relaxed

Output
Symmetry ... P4/mmm (123)
M_tot ... 1.6 μB/f.u.
E_form (uncorrected) ... 3.19 eV/f.u.
Crystal system ... tetragonal

a = 4.6300 Å, b = 4.6300 Å, c = 4.5822 Å
α = 90.00°, β = 90.00°, γ = 90.00°
Element x y z (fractional)
Li 0.0000 0.0000 0.0000
Co 0.5000 0.5000 0.5000
Os 0.5000 0.5000 0.0000
Cl 0.0000 0.5000 0.5000
Cl 0.5000 0.0000 0.5000


11.
Compound: Mg14CuW
Source: the Alexandria database
Functional: PBE
Structure: relaxed

Output
Symmetry ... Amm2 (38)
Calculated formation energy ... 0.152 eV per atom
M_tot ... 0.6 μB/f.u.
Crystal system ... orthorhombic

a = 9.9278 Å, b = 6.1970 Å, c = 6.1970 Å
α = 60.59°, β = 90.00°, γ = 90.00°
Element x y z (fractional)
Mg 0.0000 0.0000 0.0000
Mg 0.0000 0.4976 0.9964
Mg 0.0000 0.4990 0.4990
Mg 0.0000 0.9964 0.4976
Mg 0.2573 0.8359 0.8359
Mg 0.2583 0.3323 0.3323
Mg 0.2713 0.3239 0.8255
Mg 0.2713 0.8255 0.3239
Mg 0.5000 0.5040 0.9983
Mg 0.5000 0.9983 0.5040
Mg 0.7287 0.3239 0.8255
Mg 0.7287 0.8255 0.3239
Mg 0.7417 0.3323 0.3323
Mg 0.7427 0.8359 0.8359
Cu 0.5000 0.4938 0.4938
W 0.5000 0.9953 0.9953


12.
Compound: Tb4SmRh4
Source: the Alexandria database
Functional: PBE
Structure: relaxed

Output
Symmetry ... P4_2/n (86)
Calculated formation energy ... -0.644 eV per atom
M_tot ... 0.0 μB/f.u.
Crystal system ... tetragonal

a = 8.8721 Å, b = 8.8721 Å, c = 5.6431 Å
α = 90.00°, β = 90.00°, γ = 90.00°
Element x y z (fractional)
Tb 0.0702 0.6605 0.1627
Tb 0.1605 0.9298 0.6627
Tb 0.3395 0.5702 0.6627
Tb 0.4298 0.8395 0.1627
Tb 0.5702 0.1605 0.8373
Tb 0.6605 0.4298 0.3373
Tb 0.8395 0.0702 0.3373
Tb 0.9298 0.3395 0.8373
Sm 0.2500 0.2500 0.2500
Sm 0.7500 0.7500 0.7500
Rh 0.0315 0.6242 0.6593
Rh 0.1242 0.9685 0.1593
Rh 0.3758 0.5315 0.1593
Rh 0.4685 0.8758 0.6593
Rh 0.5315 0.1242 0.3407
Rh 0.6242 0.4685 0.8407
Rh 0.8758 0.0315 0.8407
Rh 0.9685 0.3758 0.3407


13.
Compound: KY2AgBr8
Source: the Alexandria database
Functional: PBE
Structure: relaxed

Output
Symmetry ... P2/m (10)
M_tot ... 0.0 μB/f.u.
E_form (uncorrected) ... -18.78 eV/f.u.
Crystal system ... monoclinic

a = 6.9976 Å, b = 8.5915 Å, c = 7.2306 Å
α = 90.00°, β = 96.83°, γ = 90.00°
Element x y z (fractional)
K 0.0000 0.0000 0.0000
Y 0.5000 0.2575 0.5000
Y 0.5000 0.7425 0.5000
Ag 0.0000 0.5000 0.0000
Br 0.2622 0.2750 0.1653
Br 0.2622 0.7250 0.1653
Br 0.2760 0.5000 0.6348
Br 0.2864 0.0000 0.6286
Br 0.7136 0.0000 0.3714
Br 0.7240 0.5000 0.3652
Br 0.7378 0.2750 0.8347
Br 0.7378 0.7250 0.8347


14.
Compound: Tb2ScZn
Source: the Alexandria database
Functional: PBE
Structure: relaxed

Output
Symmetry ... P4/mmm (123)
Calculated formation energy ... -0.138 eV per atom
M_tot ... 0.0 μB/f.u.
Crystal system ... tetragonal

a = 3.5375 Å, b = 3.5375 Å, c = 8.2217 Å
α = 90.00°, β = 90.00°, γ = 90.00°
Element x y z (fractional)
Tb 0.0000 0.0000 0.2192
Tb 0.0000 0.0000 0.7808
Sc 0.5000 0.5000 0.5000
Zn 0.5000 0.5000 0.0000


15.
Compound: Sr4HgSb
Source: the Alexandria database
Functional: PBE
Structure: relaxed

Output
Symmetry ... F-43m (216)
M_tot ... 0.0 μB/f.u.
E_form (uncorrected) ... 1.00 eV/f.u.
Crystal system ... cubic

a = 7.0904 Å, b = 7.0904 Å, c = 7.0904 Å
α = 60.00°, β = 60.00°, γ = 60.00°
Element x y z (fractional)
Sr 0.3760 0.3760 0.3760
Sr 0.3760 0.3760 0.8720
Sr 0.3760 0.8720 0.3760
Sr 0.8720 0.3760 0.3760
Hg 0.0000 0.0000 0.0000
Sb 0.7500 0.7500 0.7500


Energy? In order: -0.210 -0.491 -0.193 -0.623 -0.312 -0.306 -0.216 -0.217 -0.432 -0.305 -0.170 -0.477 -0.300 -0.320 -0.124 Ry/atom.